Record 1
AlHO | PBE-GGA | relaxed

a b c (Å): 2.788 3.698 6.585
angles (deg): 90.00 100.98 90.00
Sites, in units of the cell vectors:
Al  0.191  0.250  0.369
Al  0.809  0.750  0.631
H  0.387  0.750  0.803
H  0.613  0.250  0.197
O  0.213  0.750  0.418
O  0.787  0.250  0.582

Computed properties:
The value obtained for the distance to the lowest polymorph of the same formula is 18.1 meV/atom. The density of states at the Fermi level comes out at 0.000 states/eV/atom.

***

Record 2
MgIn2P | PBE-GGA | relaxed

a b c (Å): 6.185 6.185 6.185
angles (deg): 141.54 141.54 55.52
Sites, in units of the cell vectors:
Mg  0.000  0.000  0.000
In  0.250  0.750  0.500
In  0.750  0.250  0.500
P  0.500  0.500  0.000

Computed properties:
The value obtained for the distance to the lowest polymorph of the same formula is 183.8 meV/atom. The calculation puts the formation energy at 26 kJ/mol of formula units. The density of states at the Fermi level comes out at 0.351 states/eV/atom.